Computed, not measured: crystalline KRbMn2F at its relaxed geometry at the PBE with a Hubbard U level of DFT.

The space group is P4/mmm (No. 123) and the conventional cell measures 6.3804, 6.3804 and 8.6566 Å, with angles of 90.00, 90.00 and 90.00 degrees. The asymmetric unit holds K at (0.0000, 0.0000, 0.0000), Rb at (0.0000, 0.0000, 0.5000), Mn at (0.0000, 0.5000, 0.0000) and F at (0.5000, 0.5000, 0.5000).

The value obtained for the volume is 352.40 Å³ per cell. As for the electronic total energy: -15.79 eV for the cell shown. The crystal system is tetragonal.